This record from Alexandria via LeMat-Bulk describes a relaxed TbPr4Sm2Tm2 crystal. The functional is PBE.

Unit cell a=15.438 b=5.142 c=8.084 alpha=90.00 beta=108.55 gamma=90.00
Space group C2/m (No. 12)
Asymmetric unit:
1 Tb 0.000 0.000 0.000
2 Pr 0.054 0.500 0.330
3 Pr 0.222 0.000 0.329
4 Sm 0.112 0.000 0.670
5 Tm 0.168 0.500 0.000

Results
total DFT energy (no corrections) = -4.6572 eV/atom
total magnetic moment = 0.00 μB/cell